Material: MgZr4Br
Method: DFT, GGA-PBE
State: relaxed

Geometry as CIF:
```
data_MgZr4Br
_chemical_formula_sum 'Mg1 Zr4 Br1'
_space_group_name_H-M_alt 'P 1'
_space_group_IT_number 1
_cell_length_a 5.933
_cell_length_b 5.933
_cell_length_c 5.933
_cell_angle_alpha 60.00
_cell_angle_beta 60.00
_cell_angle_gamma 60.00
loop_
_space_group_symop_operation_xyz
'x,y,z'
loop_
_atom_site_label
_atom_site_type_symbol
_atom_site_fract_x
_atom_site_fract_y
_atom_site_fract_z
Zr1 Zr 0.372 0.885 0.372
Zr2 Zr 0.885 0.372 0.372
Zr3 Zr 0.372 0.372 0.885
Zr4 Zr 0.372 0.372 0.372
Br1 Br 0.750 0.750 0.750
Mg1 Mg 0.000 0.000 0.000
```

Results
* crystal system: cubic
* uncorrected formation energy: 428 meV/atom
* total magnetic moment: 0.00 μB per formula unit
* symmetry: F-43m (216)

---

Material: MgZrBr3
Method: DFT, GGA-PBE
State: relaxed

Geometry as CIF:
```
data_MgZrBr3
_chemical_formula_sum 'Mg1 Zr1 Br3'
_space_group_name_H-M_alt 'P 1'
_space_group_IT_number 1
_cell_length_a 5.194
_cell_length_b 5.194
_cell_length_c 5.194
_cell_angle_alpha 90.00
_cell_angle_beta 90.00
_cell_angle_gamma 90.00
loop_
_space_group_symop_operation_xyz
'x,y,z'
loop_
_atom_site_label
_atom_site_type_symbol
_atom_site_fract_x
_atom_site_fract_y
_atom_site_fract_z
Br1 Br 0.500 0.000 0.000
Br2 Br 0.000 0.000 0.500
Br3 Br 0.000 0.500 0.000
Zr1 Zr 0.500 0.500 0.500
Mg1 Mg 0.000 0.000 0.000
```

Results
* crystal system: cubic
* uncorrected formation energy: -297 meV/atom
* total magnetic moment: 2.99 μB per formula unit
* symmetry: Pm-3m (221)